[1]
Here is an optimized crystal structure of Y2Ho4Er from Alexandria. Energies are from PBE.

Geometry as POSCAR:
```
Y2Ho4Er
1.0
6.2171 0.0000 0.0000
0.0000 6.4619 0.0000
-3.0861 0.0000 11.0069
Y Ho Er
4 8 2
Direct
0.1134 0.2500 0.4960 Y
0.2033 0.2500 0.0743 Y
0.7967 0.7500 0.9257 Y
0.8866 0.7500 0.5040 Y
0.1581 0.0033 0.7870 Ho
0.1581 0.4967 0.7870 Ho
0.3608 0.7500 0.0540 Ho
0.4665 0.7500 0.6380 Ho
0.5335 0.2500 0.3620 Ho
0.6392 0.2500 0.9460 Ho
0.8419 0.5033 0.2130 Ho
0.8419 0.9967 0.2130 Ho
0.3336 0.7500 0.3365 Er
0.6664 0.2500 0.6635 Er
```

Fermi-level density of states: 11.9 states/eV/f.u.
space-group type: P2_1/m (11)

[2]
Here is an optimized crystal structure of Ba2Al4AgAu3 from Alexandria. Energies are from PBE.

Geometry as POSCAR:
```
Ba2Al4AgAu3
1.0
4.6499 0.0000 0.0000
0.0000 4.6499 0.0000
0.0000 0.0000 10.7716
Ba Al Ag Au
2 4 1 3
Direct
0.0000 0.5000 0.2487 Ba
0.5000 0.0000 0.7513 Ba
0.0000 0.0000 0.0000 Al
0.0000 0.5000 0.6236 Al
0.5000 0.0000 0.3764 Al
0.5000 0.5000 0.0000 Al
0.0000 0.0000 0.5000 Ag
0.0000 0.5000 0.8756 Au
0.5000 0.0000 0.1244 Au
0.5000 0.5000 0.5000 Au
```

Fermi-level density of states: 6.8 states/eV/f.u.
space-group type: P-4m2 (115)

[3]
Here is an optimized crystal structure of Cd5Mo from Alexandria. Energies are from PBE.

Geometry as POSCAR:
```
Cd5Mo
1.0
0.0000 4.0158 4.0158
4.0158 0.0000 4.0158
4.0158 4.0158 0.0000
Cd Mo
5 1
Direct
0.0000 0.0000 0.0000 Cd
0.3754 0.3754 0.3754 Cd
0.3754 0.3754 0.8737 Cd
0.3754 0.8737 0.3754 Cd
0.8737 0.3754 0.3754 Cd
0.7500 0.7500 0.7500 Mo
```

Fermi-level density of states: 3.9 states/eV/f.u.
space-group type: F-43m (216)

[4]
Here is an optimized crystal structure of Ba5Yb8Zn4O21 from Alexandria. Energies are from PBE.

Geometry as POSCAR:
```
Ba5Yb8Zn4O21
1.0
-6.9517 6.9517 2.8650
6.9517 -6.9517 2.8650
6.9517 6.9517 -2.8650
Ba Yb Zn O
5 8 4 21
Direct
0.0000 0.0000 0.0000 Ba
0.1403 0.5337 0.6740 Ba
0.4663 0.1403 0.6066 Ba
0.5337 0.8597 0.3934 Ba
0.8597 0.4663 0.3260 Ba
0.1671 0.2498 0.4169 Yb
0.2498 0.8329 0.0827 Yb
0.3593 0.4105 0.7698 Yb
0.4105 0.6407 0.0513 Yb
0.5895 0.3593 0.9487 Yb
0.6407 0.5895 0.2302 Yb
0.7502 0.1671 0.9173 Yb
0.8329 0.7502 0.5831 Yb
0.0417 0.7500 0.7917 Zn
0.2500 0.0417 0.2916 Zn
0.7500 0.9583 0.7084 Zn
0.9583 0.2500 0.2083 Zn
0.0122 0.9011 0.4057 O
0.0348 0.3726 0.4074 O
0.0689 0.2934 0.8666 O
0.0989 0.5046 0.1111 O
0.2023 0.0689 0.7756 O
0.2934 0.4268 0.2244 O
0.3726 0.9652 0.3378 O
0.3935 0.9878 0.8889 O
0.4268 0.2023 0.1334 O
0.4954 0.6065 0.5943 O
0.5000 0.5000 0.0000 O
0.5046 0.3935 0.4057 O
0.5732 0.7977 0.8666 O
0.6065 0.0122 0.1111 O
0.6274 0.0348 0.6622 O
0.7066 0.5732 0.7756 O
0.7977 0.9311 0.2244 O
0.9011 0.4954 0.8889 O
0.9311 0.7066 0.1334 O
0.9652 0.6274 0.5926 O
0.9878 0.0989 0.5943 O
```

Fermi-level density of states: 64.1 states/eV/f.u.
space-group type: I4/m (87)
E_form (uncorrected): -2437.1 meV/atom

[5]
Here is an optimized crystal structure of AcLuSe from Alexandria. Energies are from PBE.

Geometry as POSCAR:
```
AcLuSe
1.0
4.9886 0.0000 0.0000
-2.4943 4.3203 0.0000
0.0000 0.0000 4.3577
Ac Lu Se
1 1 1
Direct
0.0000 0.0000 0.0000 Ac
0.3333 0.6667 0.5000 Lu
0.6667 0.3333 0.5000 Se
```

Fermi-level density of states: 3.2 states/eV/f.u.
space-group type: P-6m2 (187)
E_form (uncorrected): -681.6 meV/atom

[6]
Here is an optimized crystal structure of YNi2Pd from Alexandria. Energies are from PBE.

Geometry as POSCAR:
```
YNi2Pd
1.0
-1.9720 2.0326 3.9669
1.9720 -2.0326 3.9669
1.9720 2.0326 -3.9669
Y Ni Pd
1 2 1
Direct
0.0000 0.0000 0.0000 Y
0.5100 0.5100 0.0000 Ni
0.7458 0.2458 0.5000 Ni
0.2544 0.7544 0.5000 Pd
```

Fermi-level density of states: 6.3 states/eV/f.u.
space-group type: Imm2 (44)

[7]
Here is an optimized crystal structure of ZnAg5Au8 from Alexandria. Energies are from PBE.

Geometry as POSCAR:
```
ZnAg5Au8
1.0
-4.0078 4.0078 4.1034
4.0078 -4.0078 4.1034
4.0078 4.0078 -4.1034
Zn Ag Au
1 5 8
Direct
0.0000 0.0000 0.0000 Zn
0.3045 0.2137 0.6838 Ag
0.3793 0.6955 0.9092 Ag
0.5299 0.6207 0.3162 Ag
0.7500 0.2500 0.5000 Ag
0.7863 0.4701 0.0908 Ag
0.0131 0.7470 0.6032 Au
0.0694 0.3492 0.9344 Au
0.1437 0.4099 0.3968 Au
0.2530 0.8563 0.2662 Au
0.4149 0.1350 0.0656 Au
0.5901 0.9869 0.7338 Au
0.6508 0.5851 0.7201 Au
0.8650 0.9306 0.2799 Au
```

Fermi-level density of states: 5.4 states/eV/f.u.
space-group type: I-4 (82)

[8]
Here is an optimized crystal structure of Np3Tl3SbS8 from Alexandria. Energies are from PBE.

Geometry as POSCAR:
```
Np3Tl3SbS8
1.0
4.0455 2.3357 7.5007
-4.0455 2.3357 7.5007
0.0000 -4.6713 7.5007
Np Tl Sb S
3 3 1 8
Direct
0.0000 0.5000 0.5000 Np
0.5000 0.0000 0.5000 Np
0.5000 0.5000 0.0000 Np
0.0000 0.0000 0.5000 Tl
0.0000 0.5000 0.0000 Tl
0.5000 0.0000 0.0000 Tl
0.0000 0.0000 0.0000 Sb
0.2328 0.2328 0.7265 S
0.2328 0.7265 0.2328 S
0.2690 0.2690 0.2690 S
0.2735 0.7672 0.7672 S
0.7265 0.2328 0.2328 S
0.7310 0.7310 0.7310 S
0.7672 0.2735 0.7672 S
0.7672 0.7672 0.2735 S
```

Fermi-level density of states: 32.9 states/eV/f.u.
space-group type: R-3m (166)
E_form (uncorrected): -898.4 meV/atom

[9]
Here is an optimized crystal structure of ScAgRu2 from Alexandria. Energies are from PBE.

Geometry as POSCAR:
```
ScAgRu2
1.0
3.2874 0.0000 0.0000
0.0000 3.2874 0.0000
0.0000 0.0000 6.1513
Sc Ag Ru
1 1 2
Direct
0.0000 0.0000 0.0000 Sc
0.5000 0.5000 0.2784 Ag
0.0000 0.0000 0.5523 Ru
0.5000 0.5000 0.7504 Ru
```

Fermi-level density of states: 4.7 states/eV/f.u.
space-group type: P4mm (99)

[10]
Here is an optimized crystal structure of La6CdRh3 from Alexandria. Energies are from PBE.

Geometry as POSCAR:
```
La6CdRh3
1.0
12.4085 0.0000 0.0000
0.0000 4.2302 0.0000
-4.1003 0.0000 11.7472
La Cd Rh
12 2 6
Direct
0.0312 0.2500 0.3922 La
0.1108 0.2500 0.9473 La
0.2062 0.7500 0.2569 La
0.2838 0.7500 0.7625 La
0.3534 0.2500 0.5357 La
0.4282 0.7500 0.0888 La
0.5718 0.2500 0.9112 La
0.6466 0.7500 0.4643 La
0.7162 0.2500 0.2375 La
0.7938 0.2500 0.7431 La
0.8892 0.7500 0.0527 La
0.9688 0.7500 0.6078 La
0.4452 0.2500 0.3036 Cd
0.5548 0.7500 0.6964 Cd
0.0455 0.2500 0.1629 Rh
0.1853 0.7500 0.4954 Rh
0.3428 0.2500 0.9215 Rh
0.6572 0.7500 0.0785 Rh
0.8147 0.2500 0.5046 Rh
0.9545 0.7500 0.8371 Rh
```

Fermi-level density of states: 8.3 states/eV/f.u.
space-group type: P2_1/m (11)

[11]
Here is an optimized crystal structure of SrDyEr from Alexandria. Energies are from PBE.

Geometry as POSCAR:
```
SrDyEr
1.0
5.7992 -2.5798 0.0000
5.7992 2.5798 0.0000
-2.3665 0.0000 7.3474
Sr Dy Er
2 2 2
Direct
0.1668 0.1668 0.0912 Sr
0.8332 0.8332 0.9088 Sr
0.4908 0.4908 0.7146 Dy
0.5092 0.5092 0.2854 Dy
0.1574 0.1574 0.5675 Er
0.8426 0.8426 0.4325 Er
```

Fermi-level density of states: 5.7 states/eV/f.u.
space-group type: C2/m (12)

[12]
Here is an optimized crystal structure of Na2Sm2PaTe6 from Alexandria. Energies are from PBE.

Geometry as POSCAR:
```
Na2Sm2PaTe6
1.0
3.8751 -6.6684 0.0000
3.8751 6.6684 0.0000
-2.6029 0.0000 7.6155
Na Sm Pa Te
2 2 1 6
Direct
0.1689 0.8311 0.0000 Na
0.8311 0.1689 0.0000 Na
0.3330 0.6670 0.5000 Sm
0.6670 0.3330 0.5000 Sm
0.0000 0.0000 0.5000 Pa
0.0808 0.4061 0.7350 Te
0.2483 0.2483 0.2667 Te
0.4061 0.0808 0.7350 Te
0.5939 0.9192 0.2650 Te
0.7517 0.7517 0.7333 Te
0.9192 0.5939 0.2650 Te
```

Fermi-level density of states: 3.2 states/eV/f.u.
space-group type: C2/m (12)
E_form (uncorrected): -1175.1 meV/atom

[13]
Here is an optimized crystal structure of SrCaRh2 from Alexandria. Energies are from PBE.

Geometry as POSCAR:
```
SrCaRh2
1.0
0.0000 3.4908 3.4908
3.4908 0.0000 3.4908
3.4908 3.4908 0.0000
Sr Ca Rh
1 1 2
Direct
0.0000 0.0000 0.0000 Sr
0.7500 0.7500 0.7500 Ca
0.2500 0.2500 0.2500 Rh
0.5000 0.5000 0.5000 Rh
```

Fermi-level density of states: 6.0 states/eV/f.u.
space-group type: F-43m (216)

[14]
Here is an optimized crystal structure of La2HgGeO6 from Alexandria. Energies are from PBE.

Geometry as POSCAR:
```
La2HgGeO6
1.0
5.4902 0.0000 0.0000
0.0000 5.4902 0.0000
0.0000 0.0000 5.1503
La Hg Ge O
2 1 1 6
Direct
0.0000 0.5000 0.0000 La
0.5000 0.0000 0.0000 La
0.0000 0.0000 0.5176 Hg
0.5000 0.5000 0.5997 Ge
0.0000 0.0000 0.1046 O
0.2724 0.2724 0.7294 O
0.2724 0.7276 0.7294 O
0.5000 0.5000 0.2512 O
0.7276 0.2724 0.7294 O
0.7276 0.7276 0.7294 O
```

space-group type: P4mm (99)
E_form (uncorrected): -2191.6 meV/atom

[15]
Here is an optimized crystal structure of Sr2CuHg2 from Alexandria. Energies are from PBE.

Geometry as POSCAR:
```
Sr2CuHg2
1.0
7.8593 0.0000 0.0000
0.0000 7.8593 0.0000
0.0000 0.0000 4.8665
Sr Cu Hg
4 2 4
Direct
0.1731 0.3269 0.0000 Sr
0.3269 0.8269 0.0000 Sr
0.6731 0.1731 0.0000 Sr
0.8269 0.6731 0.0000 Sr
0.0000 0.0000 0.5000 Cu
0.5000 0.5000 0.5000 Cu
0.1376 0.6376 0.5000 Hg
0.3624 0.1376 0.5000 Hg
0.6376 0.8624 0.5000 Hg
0.8624 0.3624 0.5000 Hg
```

Fermi-level density of states: 3.6 states/eV/f.u.
space-group type: P4/mbm (127)

[16]
Here is an optimized crystal structure of K2TaRh from Alexandria. Energies are from PBE.

Geometry as POSCAR:
```
K2TaRh
1.0
-1.7043 3.1418 6.1257
1.7043 -3.1418 6.1257
1.7043 3.1418 -6.1257
K Ta Rh
2 1 1
Direct
0.0000 0.0000 0.0000 K
0.6979 0.1979 0.5000 K
0.3114 0.8114 0.5000 Ta
0.4468 0.4468 0.0000 Rh
```

Fermi-level density of states: 4.5 states/eV/f.u.
space-group type: Imm2 (44)

[17]
Here is an optimized crystal structure of PmDy4Ho4 from Alexandria. Energies are from PBE.

Geometry as POSCAR:
```
PmDy4Ho4
1.0
-5.3220 5.3220 2.5017
5.3220 -5.3220 2.5017
5.3220 5.3220 -2.5017
Pm Dy Ho
1 4 4
Direct
0.0000 0.0000 0.0000 Pm
0.0000 0.3338 0.3338 Dy
0.0000 0.6662 0.6662 Dy
0.3338 0.0000 0.3338 Dy
0.6662 0.0000 0.6662 Dy
0.3328 0.3328 0.6655 Ho
0.3328 0.6672 0.0000 Ho
0.6672 0.3328 0.0000 Ho
0.6672 0.6672 0.3345 Ho
```

Fermi-level density of states: 12.9 states/eV/f.u.
space-group type: I4/mmm (139)

[18]
Here is an optimized crystal structure of Ba3Sn4Hg7 from Alexandria. Energies are from PBE.

Geometry as POSCAR:
```
Ba3Sn4Hg7
1.0
9.3323 -2.5283 0.0000
9.3323 2.5283 0.0000
-6.6150 0.0000 8.9660
Ba Sn Hg
3 4 7
Direct
0.0000 0.0000 0.0000 Ba
0.3146 0.3146 0.3186 Ba
0.6854 0.6854 0.6814 Ba
0.1474 0.1474 0.8764 Sn
0.3414 0.3414 0.7095 Sn
0.6586 0.6586 0.2905 Sn
0.8526 0.8526 0.1236 Sn
0.0000 0.0000 0.5000 Hg
0.1509 0.1509 0.4230 Hg
0.3335 0.3335 0.9634 Hg
0.4971 0.4971 0.3046 Hg
0.5029 0.5029 0.6954 Hg
0.6665 0.6665 0.0366 Hg
0.8491 0.8491 0.5770 Hg
```

Fermi-level density of states: 6.3 states/eV/f.u.
space-group type: C2/m (12)

[19]
Here is an optimized crystal structure of Sm3Dy4Y8 from Alexandria. Energies are from PBE.

Geometry as POSCAR:
```
Sm3Dy4Y8
1.0
3.4908 2.0154 11.7810
-3.4908 2.0154 11.7810
0.0000 -4.0309 11.7810
Sm Dy Y
3 4 8
Direct
0.0000 0.5000 0.5000 Sm
0.5000 0.0000 0.5000 Sm
0.5000 0.5000 0.0000 Sm
0.0000 0.0000 0.0000 Dy
0.1641 0.1641 0.1641 Dy
0.5000 0.5000 0.5000 Dy
0.8359 0.8359 0.8359 Dy
0.2499 0.7492 0.7492 Y
0.2508 0.2508 0.7501 Y
0.2508 0.7501 0.2508 Y
0.2541 0.2541 0.2541 Y
0.7459 0.7459 0.7459 Y
0.7492 0.2499 0.7492 Y
0.7492 0.7492 0.2499 Y
0.7501 0.2508 0.2508 Y
```

Fermi-level density of states: 23.9 states/eV/f.u.
space-group type: R-3m (166)

[20]
Here is an optimized crystal structure of Nd3Gd from Alexandria. Energies are from PBE.

Geometry as POSCAR:
```
Nd3Gd
1.0
5.1716 0.0000 0.0000
0.0000 5.1716 0.0000
0.0000 0.0000 5.1716
Nd Gd
3 1
Direct
0.0000 0.0000 0.5000 Nd
0.0000 0.5000 0.0000 Nd
0.5000 0.0000 0.0000 Nd
0.5000 0.5000 0.5000 Gd
```

Fermi-level density of states: 6.6 states/eV/f.u.
space-group type: Pm-3m (221)

| no. | total energy (eV per cell) |
| --- | --- |
| 1 | -69.70 |
| 2 | -36.58 |
| 3 | -12.28 |
| 4 | -223.65 |
| 5 | -14.16 |
| 6 | -24.46 |
| 7 | -41.14 |
| 8 | -96.54 |
| 9 | -27.44 |
| 10 | -116.13 |
| 11 | -20.53 |
| 12 | -53.35 |
| 13 | -17.95 |
| 14 | -66.44 |
| 15 | -18.29 |
| 16 | -18.32 |
| 17 | -41.30 |
| 18 | -29.34 |
| 19 | -81.96 |
| 20 | -28.35 |